# 1
A plane-wave DFT calculation with PBE was carried out for a geometry-optimized Li8Mg2Zn structure.

formation energy	-0.05	eV per atom
excess energy over the best structure of this formula in the dataset	0.000	eV/atom

```
Li8Mg2Zn
1.0
4.385 0.000 -1.261
-0.497 5.759 -1.729
-0.107 1.214 7.886
Li Zn Mg
8 1 2
Cartesian
0.529 1.271 1.840
-0.240 4.372 -0.836
1.340 1.365 4.661
4.022 2.601 5.732
2.348 2.722 -0.090
2.441 5.608 0.235
3.252 5.701 3.057
1.433 4.251 4.987
2.193 0.000 -0.630
3.186 2.714 2.825
0.595 4.258 2.071
```

# 2
A plane-wave DFT calculation with PBE was carried out for a geometry-optimized PmTm14Th structure.

formation energy	0.06	eV per atom

```
PmTm14Th
1.0
6.855 -0.093 0.000
-2.001 6.557 0.000
0.000 0.000 10.928
Tm Pm Th
14 1 1
Cartesian
0.709 2.447 5.464
2.933 2.852 0.000
2.701 5.100 5.464
2.496 1.044 2.723
4.548 3.776 8.206
1.061 4.258 2.538
-0.456 2.417 0.000
4.548 3.776 2.723
2.496 1.044 8.206
6.004 0.546 8.037
2.405 6.228 0.000
-1.033 5.830 0.000
1.061 4.258 8.390
6.004 0.546 2.891
4.184 1.913 5.464
-0.832 5.679 5.464
```

# 3
A plane-wave DFT calculation with PBE was carried out for a geometry-optimized Zr2TaMo structure.

formation energy	0.06	eV per atom
excess energy over the best structure of this formula in the dataset	0.080	eV/atom

```
Zr2TaMo
1.0
-1.883 -0.188 -5.311
-0.707 -3.244 -4.557
-4.426 -1.839 -0.551
Zr Ta Mo
2 1 1
Cartesian
-3.542 -2.606 -5.035
-4.391 -1.869 -0.726
-1.754 -1.318 -2.605
-5.261 -3.954 -7.815
```

# 4
A plane-wave DFT calculation with PBE was carried out for a geometry-optimized Rb3As2Pt structure.

formation energy	-0.40	eV per atom
excess energy over the best structure of this formula in the dataset	0.000	eV/atom

```
Rb3As2Pt
1.0
7.371 0.357 0.590
0.009 7.380 0.590
-0.825 -0.865 7.807
As Rb Pt
4 6 2
Cartesian
-0.144 3.291 5.423
2.847 6.428 7.468
3.707 0.444 1.520
6.699 3.580 3.565
1.255 0.408 3.931
-0.065 0.840 7.835
3.785 2.538 6.446
5.300 6.464 5.056
6.619 6.031 1.153
2.770 4.333 2.542
5.306 1.914 2.542
1.249 4.958 6.446
```

# 5
A plane-wave DFT calculation with PBE was carried out for a geometry-optimized RbMg14Fe structure.

formation energy	0.22	eV per atom

```
RbMg14Fe
1.0
3.188 -5.679 0.000
3.188 5.679 0.000
0.000 0.000 10.548
Mg Rb Fe
14 1 1
Cartesian
3.188 -3.803 0.000
3.188 3.817 8.138
3.188 -2.037 2.913
1.541 0.890 2.605
1.541 0.890 7.943
1.578 -0.707 5.274
1.645 -0.959 0.000
3.188 -2.037 7.635
3.188 1.849 0.000
4.731 -0.959 0.000
4.835 0.890 7.943
3.188 3.817 2.410
4.835 0.890 2.605
4.797 -0.707 5.274
3.188 2.176 5.274
3.188 -4.011 5.274
```

# 6
A plane-wave DFT calculation with PBE was carried out for a geometry-optimized Pr6Dy5Tl structure.

formation energy	-0.03	eV per atom

```
Pr6Dy5Tl
1.0
4.905 -0.003 -1.374
-3.484 8.376 -3.020
0.035 0.136 9.560
Pr Dy Tl
6 5 1
Cartesian
-0.225 3.455 -0.816
0.941 0.724 3.353
0.514 7.785 1.813
-1.353 6.424 4.586
2.809 2.085 0.580
1.681 5.054 5.982
-0.437 6.981 -1.580
1.892 1.527 6.746
-1.147 2.904 5.334
0.728 4.254 2.583
-2.302 5.608 1.206
0.000 0.000 0.000
```

# 7
A plane-wave DFT calculation with PBE was carried out for a geometry-optimized Tb2Pm4Pr2Dy structure.

formation energy	0.01	eV per atom

```
Tb2Pm4Pr2Dy
1.0
-1.016 -2.424 2.558
-2.029 -4.908 -8.087
9.231 -0.664 3.037
Pr Tb Pm Dy
2 2 4 1
Cartesian
7.867 -3.900 2.058
-1.681 -4.096 -4.550
5.396 -2.248 0.013
0.790 -5.748 -2.504
3.708 -6.336 -4.532
2.478 -1.660 2.041
2.139 -2.495 -1.515
4.048 -5.501 -0.976
0.000 0.000 0.000
```

# 8
A plane-wave DFT calculation with PBE was carried out for a geometry-optimized KGaH structure.

excess energy over the best structure of this formula in the dataset	0.094	eV/atom

```
KGaH
1.0
9.099 0.000 0.006
0.000 4.399 0.000
-2.338 0.000 7.087
H K Ga
4 4 4
Cartesian
4.240 0.000 5.373
5.409 2.199 1.829
-0.266 2.199 1.425
-1.435 0.000 4.968
3.500 0.000 2.590
7.364 0.000 1.074
2.331 2.199 6.133
6.195 2.199 4.617
1.377 2.199 0.653
0.209 0.000 4.197
0.580 2.199 3.035
-0.588 0.000 6.578
```

# 9
A plane-wave DFT calculation with PBE was carried out for a geometry-optimized AcLa2Cu structure.

formation energy	0.21	eV per atom
excess energy over the best structure of this formula in the dataset	0.269	eV/atom

```
AcLa2Cu
1.0
-3.088 1.507 -1.689
-0.893 -4.985 -2.817
-3.308 -1.878 4.372
Ac La Cu
1 2 1
Cartesian
-3.644 -2.678 -0.067
-1.654 -0.939 2.186
-0.446 -2.493 -1.409
-1.544 0.754 -0.844
```